(1)
Density functional theory data (SCAN) for a PBEsol-optimized structure of Tl2OsW.

Results
Formation energy: 1.32 eV/atom
SG: No. 119

abc: 4.1437 4.1437 5.1223
angles: 113.86 113.86 90.00
Each line ends with the local moment (μB).
Element x y z (fractional)
W: 0.5000 0.5000 0.0000  0.45
Tl: 0.7500 0.2500 0.5000  0.00
Tl: 0.0000 0.0000 0.0000  0.01
Os: 0.2500 0.7500 0.5000  0.01


(2)
Density functional theory data (SCAN) for a PBEsol-optimized structure of Tl2OsW.

Results
Formation energy: 1.25 eV/atom
SG: No. 65

abc: 2.9884 2.9884 9.4566
angles: 90.00 90.00 119.52
Element x y z (fractional)
Tl: 0.0000 0.0000 0.2430
Tl: 0.0000 0.0000 0.7570
W: 0.5000 0.5000 0.5000
Os: 0.5000 0.5000 0.0000


(3)
Density functional theory data (SCAN) for a PBEsol-optimized structure of TlOs2W.

Results
Formation energy: 0.98 eV/atom
SG: No. 35

abc: 2.8153 2.8153 9.4672
angles: 90.00 90.00 118.75
Each line ends with the local moment (μB).
Element x y z (fractional)
Os: 0.5000 0.5000 0.7651  0.58
Os: 0.0000 0.0000 0.9990  0.37
Tl: 0.0000 0.0000 0.5048  0.00
W: 0.5000 0.5000 0.2310  -0.03


(4)
Density functional theory data (SCAN) for a PBEsol-optimized structure of Tl2OsW.

Results
Formation energy: 0.54 eV/atom
SG: No. 99

abc: 3.0280 3.0280 8.8310
angles: 90.00 90.00 90.00
Element x y z (fractional)
W: 0.0000 0.0000 0.5460
Tl: 0.5000 0.5000 0.2902
Tl: 0.0000 0.0000 0.9592
Os: 0.5000 0.5000 0.7046


(5)
Density functional theory data (SCAN) for a PBEsol-optimized structure of TlOs2W.

Results
Formation energy: 0.80 eV/atom
SG: No. 65

abc: 2.8046 2.8046 9.4486
angles: 90.00 90.00 116.46
Element x y z (fractional)
Os: 0.0000 0.0000 0.7732
Os: 0.0000 0.0000 0.2268
W: 0.5000 0.5000 0.0000
Tl: 0.5000 0.5000 0.5000


(6)
Density functional theory data (SCAN) for a PBEsol-optimized structure of TlOsW.

Results
Formation energy: 0.71 eV/atom
SG: No. 156

abc: 2.8962 2.8962 7.0399
angles: 90.00 90.00 120.00
Element x y z (fractional)
Os: 0.0000 0.0000 0.0216
W: 0.3333 0.6667 0.3089
Tl: 0.6667 0.3333 0.6695